Entry from Alexandria: crystalline HfTi2Tc2 at its relaxed geometry (PBE-GGA).

Properties
Formation energy: -0.16 eV/atom
Crystal system: tetragonal

CIF file:
```
data_HfTi2Tc2
_chemical_formula_sum 'Hf2 Ti4 Tc4'
_cell_length_a 7.343
_cell_length_b 7.343
_cell_length_c 3.150
_cell_angle_alpha 90.00
_cell_angle_beta 90.00
_cell_angle_gamma 90.00
_space_group_name_H-M_alt 'P 1'
_space_group_IT_number 1
loop_
_space_group_symop_operation_xyz
'x,y,z'
loop_
_atom_site_label
_atom_site_type_symbol
_atom_site_fract_x
_atom_site_fract_y
_atom_site_fract_z
Tc1 Tc 0.652 0.152 0.000
Tc2 Tc 0.152 0.348 0.000
Ti1 Ti 0.354 0.146 0.500
Tc3 Tc 0.848 0.652 0.000
Hf1 Hf 0.000 0.000 0.000
Ti2 Ti 0.646 0.854 0.500
Hf2 Hf 0.500 0.500 0.000
Ti3 Ti 0.146 0.646 0.500
Tc4 Tc 0.348 0.848 0.000
Ti4 Ti 0.854 0.354 0.500
```

---

Entry from Alexandria: crystalline HfTiTc at its relaxed geometry (PBE-GGA).

Properties
Formation energy: 0.04 eV/atom
Crystal system: orthorhombic

CIF file:
```
data_HfTiTc
_chemical_formula_sum 'Hf1 Ti1 Tc1'
_cell_length_a 4.398
_cell_length_b 4.394
_cell_length_c 4.393
_cell_angle_alpha 89.92
_cell_angle_beta 120.04
_cell_angle_gamma 120.05
_space_group_name_H-M_alt 'P 1'
_space_group_IT_number 1
loop_
_space_group_symop_operation_xyz
'x,y,z'
loop_
_atom_site_label
_atom_site_type_symbol
_atom_site_fract_x
_atom_site_fract_y
_atom_site_fract_z
Ti1 Ti 0.944 0.472 0.417
Tc1 Tc 0.444 0.222 0.667
Hf1 Hf 0.944 0.972 0.917
```

---

Entry from Alexandria: crystalline Hf2TiTc at its relaxed geometry (PBE-GGA).

Properties
Formation energy: -0.02 eV/atom
Crystal system: orthorhombic

CIF file:
```
data_Hf2TiTc
_chemical_formula_sum 'Hf2 Ti1 Tc1'
_cell_length_a 3.251
_cell_length_b 3.187
_cell_length_c 7.839
_cell_angle_alpha 101.73
_cell_angle_beta 90.00
_cell_angle_gamma 90.00
_space_group_name_H-M_alt 'P 1'
_space_group_IT_number 1
loop_
_space_group_symop_operation_xyz
'x,y,z'
loop_
_atom_site_label
_atom_site_type_symbol
_atom_site_fract_x
_atom_site_fract_y
_atom_site_fract_z
Hf1 Hf 0.500 0.472 0.945
Ti1 Ti 0.000 0.303 0.605
Tc1 Tc 0.000 0.071 0.142
Hf2 Hf 0.500 0.680 0.360
```

---

Entry from Alexandria: crystalline HfTiTlTc2 at its relaxed geometry (PBE-GGA).

Properties
Formation energy: 1.04 eV/atom
Crystal system: tetragonal

CIF file:
```
data_HfTiTlTc2
_chemical_formula_sum 'Hf1 Ti1 Tl1 Tc2'
_cell_length_a 4.574
_cell_length_b 4.942
_cell_length_c 4.574
_cell_angle_alpha 90.00
_cell_angle_beta 90.00
_cell_angle_gamma 90.00
_space_group_name_H-M_alt 'P 1'
_space_group_IT_number 1
loop_
_space_group_symop_operation_xyz
'x,y,z'
loop_
_atom_site_label
_atom_site_type_symbol
_atom_site_fract_x
_atom_site_fract_y
_atom_site_fract_z
Ti1 Ti 0.000 0.000 0.000
Hf1 Hf 0.000 0.500 0.000
Tc1 Tc 0.500 0.000 0.000
Tc2 Tc 0.000 0.000 0.500
Tl1 Tl 0.500 0.500 0.500
```

---

Entry from Alexandria: crystalline HfTiVTc at its relaxed geometry (PBE-GGA).

Properties
Formation energy: -0.17 eV/atom
Crystal system: cubic

CIF file:
```
data_HfTiVTc
_chemical_formula_sum 'Hf1 Ti1 V1 Tc1'
_cell_length_a 4.552
_cell_length_b 4.552
_cell_length_c 4.552
_cell_angle_alpha 60.00
_cell_angle_beta 60.00
_cell_angle_gamma 60.00
_space_group_name_H-M_alt 'P 1'
_space_group_IT_number 1
loop_
_space_group_symop_operation_xyz
'x,y,z'
loop_
_atom_site_label
_atom_site_type_symbol
_atom_site_fract_x
_atom_site_fract_y
_atom_site_fract_z
V1 V 0.000 0.000 0.000
Tc1 Tc 0.500 0.500 0.500
Hf1 Hf 0.250 0.250 0.250
Ti1 Ti 0.750 0.750 0.750
```

---

Entry from Alexandria: crystalline HfTiTcW at its relaxed geometry (PBE-GGA).

Properties
Formation energy: -0.13 eV/atom
Crystal system: cubic

CIF file:
```
data_HfTiTcW
_chemical_formula_sum 'Hf1 Ti1 Tc1 W1'
_cell_length_a 4.550
_cell_length_b 4.550
_cell_length_c 4.550
_cell_angle_alpha 60.00
_cell_angle_beta 60.00
_cell_angle_gamma 60.00
_space_group_name_H-M_alt 'P 1'
_space_group_IT_number 1
loop_
_space_group_symop_operation_xyz
'x,y,z'
loop_
_atom_site_label
_atom_site_type_symbol
_atom_site_fract_x
_atom_site_fract_y
_atom_site_fract_z
Hf1 Hf 0.000 0.000 0.000
Tc1 Tc 0.750 0.750 0.750
W1 W 0.500 0.500 0.500
Ti1 Ti 0.250 0.250 0.250
```